A plane-wave DFT calculation with GGA-PBEsol was carried out for crystalline Sr2AlOF at its relaxed geometry.

Structure (POSCAR):
```
Sr2AlOF
1.0
-3.069 -2.207 1.141
2.514 -4.684 -2.297
2.638 -1.059 5.046
Sr Al O F
2 1 1 1
Direct
0.000 0.000 0.500
0.000 0.500 0.000
0.000 0.000 0.000
0.500 0.500 0.500
0.500 0.000 0.000
```

The value obtained for the mass density is 2.98 g cm⁻³.

---

A plane-wave DFT calculation with GGA-PBEsol was carried out for crystalline Mg2AlPt at its relaxed geometry.

Structure (POSCAR):
```
Mg2AlPt
1.0
3.022 0.000 0.000
1.511 2.617 0.000
1.511 0.872 9.066
Al Mg Pt
1 2 1
Direct
0.760 0.760 0.719
0.005 0.005 0.986
0.240 0.240 0.281
0.495 0.495 0.514
```

The value obtained for the mass density is 6.27 g cm⁻³. As for the formation energy: -0.307 eV per atom.

---

| no. | electronic total energy (eV/atom) |
| --- | --- |
| 1 | -3.66 |
| 2 | -3.93 |